Record 1
## CsVCdBr2 (PBE)

Data for a relaxed CsVCdBr2 crystal.

Results
Space group: No. 123
Magnetic moment in μB per atom: 0.7979
E_form (uncorrected) in eV/atom: 0.4651

Geometry as POSCAR:
```
CsVCdBr2
1.0
6.693 0.000 0.000
0.000 6.693 0.000
0.000 0.000 6.679
Br Cd V Cs
2 1 1 1
Cartesian
0.000 3.347 0.000
3.347 0.000 0.000
0.000 0.000 3.340
3.347 3.347 3.340
0.000 0.000 0.000
```


Record 2
## CdPt (PBE)

Data for a relaxed CdPt crystal.

Results
Space group: No. 223
E_form in kJ per mole of atoms: 56.9
Magnetic moment in μB per atom: 0.0000

Geometry as POSCAR:
```
CdPt
1.0
7.507 0.000 0.000
0.000 7.507 0.000
0.000 0.000 7.507
Pt Cd
6 6
Cartesian
0.000 5.630 3.753
3.753 0.000 1.877
1.877 3.753 0.000
3.753 0.000 5.630
0.000 1.877 3.753
5.630 3.753 0.000
5.630 0.000 3.753
0.000 3.753 1.877
1.877 0.000 3.753
3.753 1.877 0.000
0.000 3.753 5.630
3.753 5.630 0.000
```


Record 3
## TbCe2Ag (PBE)

Data for a relaxed TbCe2Ag crystal.

Results
Space group: No. 225
E_form in kJ per mole of atoms: 17.7
Magnetic moment in μB per atom: 0.4866
Relative energy among the computed polymorphs in meV/atom: 124

Geometry as POSCAR:
```
TbCe2Ag
1.0
5.373 0.000 0.000
2.687 4.653 0.000
2.687 1.551 4.387
Ag Ce Tb
1 2 1
Cartesian
5.373 3.102 2.194
2.687 1.551 1.096
8.060 4.653 3.291
0.000 0.000 0.000
```


Record 4
## LiMnTe2 (PBE)

Data for a relaxed LiMnTe2 crystal.

Results
Space group: No. 156
Magnetic moment in μB per atom: 1.0000
E_form (uncorrected) in eV/atom: -0.3065

Geometry as POSCAR:
```
LiMnTe2
1.0
-0.127 -0.707 -4.179
-2.258 -2.440 2.633
-5.585 4.526 -0.595
Te Mn Li
2 1 1
Cartesian
-4.394 0.445 0.059
-5.570 4.514 -0.594
-1.948 1.579 -0.208
-5.289 2.323 -2.383
```